VASP calculation (GGA-PBE) on a geometry-optimized ErAgPbSe3 structure.

Structure (POSCAR):
```
ErAgPbSe3
1.0
9.0081 -2.0388 0.0000
9.0081 2.0388 0.0000
-1.9314 0.0000 8.4537
Er Ag Pb Se
2 2 2 6
Direct
0.1638 0.1638 0.0875
0.8362 0.8362 0.9125
0.4712 0.4712 0.7874
0.5288 0.5288 0.2126
0.1329 0.1329 0.5739
0.8671 0.8671 0.4261
0.0000 0.0000 0.0000
0.3167 0.3167 0.6757
0.3273 0.3273 0.1395
0.5000 0.5000 0.5000
0.6727 0.6727 0.8605
0.6833 0.6833 0.3243
```

Summary:
space group = No. 12
energy above the lowest structure with this stoichiometry = 5 meV per atom



VASP calculation (GGA-PBE) on a geometry-optimized DyOsO3 structure.

Structure (POSCAR):
```
DyOsO3
1.0
2.8952 1.6715 3.9730
-2.8952 1.6715 3.9730
0.0000 -3.3431 3.9730
Dy Os O
2 2 6
Direct
0.2500 0.2500 0.2500
0.7500 0.7500 0.7500
0.0000 0.0000 0.0000
0.5000 0.5000 0.5000
0.1339 0.7500 0.3661
0.2500 0.6339 0.8661
0.3661 0.1339 0.7500
0.6339 0.8661 0.2500
0.7500 0.3661 0.1339
0.8661 0.2500 0.6339
```

Summary:
space group = No. 167
raw total energy = -8.04 eV per atom



VASP calculation (GGA-PBE) on a geometry-optimized GdAgTe3Pb structure.

Structure (POSCAR):
```
GdAgTe3Pb
1.0
11.3638 0.0000 0.0000
0.0000 4.3756 0.0000
0.0000 0.0000 14.7482
Gd Ag Te Pb
4 4 12 4
Direct
0.0188 0.2500 0.2434
0.4812 0.7500 0.7434
0.5188 0.2500 0.2566
0.9812 0.7500 0.7566
0.2395 0.2500 0.7220
0.2605 0.7500 0.2220
0.7395 0.2500 0.7780
0.7605 0.7500 0.2780
0.0379 0.2500 0.6088
0.0743 0.7500 0.0995
0.2348 0.7500 0.8443
0.2652 0.2500 0.3443
0.4257 0.2500 0.5995
0.4621 0.7500 0.1088
0.5379 0.2500 0.8912
0.5743 0.7500 0.4005
0.7348 0.7500 0.6557
0.7652 0.2500 0.1557
0.9257 0.2500 0.9005
0.9621 0.7500 0.3912
0.2235 0.7500 0.5163
0.2765 0.2500 0.0163
0.7235 0.7500 0.9837
0.7765 0.2500 0.4837
```

Summary:
space group = No. 62
energy above the lowest structure with this stoichiometry = 5 meV per atom



VASP calculation (GGA-PBE) on a geometry-optimized Gd3Ni structure.

Structure (POSCAR):
```
Gd3Ni
1.0
4.6629 0.0000 0.0000
0.0000 4.6629 0.0000
0.0000 0.0000 4.6629
Gd Ni
3 1
Direct
0.0000 0.0000 0.5000
0.0000 0.5000 0.0000
0.5000 0.0000 0.0000
0.5000 0.5000 0.5000
```

Summary:
space group = No. 221
energy above the lowest structure with this stoichiometry = 65 meV per atom
DFT formation energy = 0.142 eV per atom



VASP calculation (GGA-PBE) on a geometry-optimized Li2Y2In2NiAu structure.

Structure (POSCAR):
```
Li2Y2In2NiAu
1.0
4.7449 0.0000 0.0000
0.0000 4.7449 0.0000
0.0000 0.0000 6.8062
Li Y In Ni Au
2 2 2 1 1
Direct
0.0000 0.0000 0.0000
0.5000 0.5000 0.5000
0.0000 0.5000 0.7376
0.5000 0.0000 0.2624
0.0000 0.5000 0.2638
0.5000 0.0000 0.7362
0.0000 0.0000 0.5000
0.5000 0.5000 0.0000
```

Summary:
space group = No. 115
raw total energy = -4.40 eV per atom



VASP calculation (GGA-PBE) on a geometry-optimized Lu4CuSbC2 structure.

Structure (POSCAR):
```
Lu4CuSbC2
1.0
3.5600 0.0000 0.0000
-1.7800 3.0830 0.0000
0.0000 0.0000 14.0892
Lu Cu Sb C
4 1 1 2
Direct
0.0000 0.0000 0.1441
0.0000 0.0000 0.8559
0.3333 0.6667 0.3263
0.3333 0.6667 0.6737
0.3333 0.6667 0.0000
0.0000 0.0000 0.5000
0.6667 0.3333 0.2373
0.6667 0.3333 0.7627
```

Summary:
space group = No. 187
raw total energy = -6.02 eV per atom



VASP calculation (GGA-PBE) on a geometry-optimized GdBiAs structure.

Structure (POSCAR):
```
GdBiAs
1.0
0.0000 3.5201 3.5201
3.5201 0.0000 3.5201
3.5201 3.5201 0.0000
Gd Bi As
1 1 1
Direct
0.0000 0.0000 0.0000
0.5000 0.5000 0.5000
0.7500 0.7500 0.7500
```

Summary:
space group = No. 216
energy above the lowest structure with this stoichiometry = 0 meV per atom



VASP calculation (GGA-PBE) on a geometry-optimized DyYBrNCl2 structure.

Structure (POSCAR):
```
DyYBrNCl2
1.0
9.0073 -1.9170 0.0000
9.0073 1.9170 0.0000
-6.6914 0.0000 9.2338
Dy Y Br N Cl
2 2 2 2 4
Direct
0.1404 0.1404 0.2912
0.8596 0.8596 0.7088
0.4256 0.4256 0.0428
0.5744 0.5744 0.9572
0.2215 0.2215 0.1220
0.7785 0.7785 0.8780
0.4216 0.4216 0.8435
0.5784 0.5784 0.1565
0.0303 0.0303 0.7535
0.3281 0.3281 0.4949
0.6719 0.6719 0.5051
0.9697 0.9697 0.2465
```

Summary:
space group = No. 12
energy above the lowest structure with this stoichiometry = 10 meV per atom



VASP calculation (GGA-PBE) on a geometry-optimized DyHoSi2Os structure.

Structure (POSCAR):
```
DyHoSi2Os
1.0
5.3269 -2.1089 0.0000
5.3269 2.1089 0.0000
-4.8334 0.0000 8.7407
Dy Ho Si Os
2 2 4 2
Direct
0.1856 0.1856 0.1110
0.8144 0.8144 0.8890
0.0082 0.0082 0.6786
0.9918 0.9918 0.3214
0.3557 0.3557 0.4396
0.4974 0.4974 0.1249
0.5026 0.5026 0.8751
0.6443 0.6443 0.5604
0.2701 0.2701 0.6269
0.7299 0.7299 0.3731
```

Summary:
space group = No. 12
energy above the lowest structure with this stoichiometry = 0 meV per atom



VASP calculation (GGA-PBE) on a geometry-optimized HgH6C4N4O2 structure.

Structure (POSCAR):
```
HgH6C4N4O2
1.0
5.0245 0.0000 0.0000
0.0000 10.4269 0.0000
-3.1904 0.0000 6.3085
Hg H C N O
2 12 8 8 4
Direct
0.0000 0.0000 0.0000
0.0000 0.5000 0.5000
0.1294 0.0573 0.6538
0.1294 0.4427 0.1538
0.2543 0.6298 0.0337
0.2543 0.8702 0.5337
0.4178 0.2428 0.9701
0.4178 0.2572 0.4701
0.5822 0.7428 0.5299
0.5822 0.7572 0.0299
0.7457 0.1298 0.4663
0.7457 0.3702 0.9663
0.8706 0.5573 0.8462
0.8706 0.9427 0.3462
0.2258 0.2145 0.3329
0.2258 0.2855 0.8329
0.4118 0.5692 0.1627
0.4118 0.9308 0.6627
0.5882 0.0692 0.3373
0.5882 0.4308 0.8373
0.7742 0.7145 0.1671
0.7742 0.7855 0.6671
0.2983 0.1117 0.2485
0.2983 0.3883 0.7485
0.3507 0.0340 0.7344
0.3507 0.4660 0.2344
0.6493 0.5340 0.7656
0.6493 0.9660 0.2656
0.7017 0.6117 0.2515
0.7017 0.8883 0.7515
0.0315 0.7420 0.7351
0.0315 0.7580 0.2351
0.9685 0.2420 0.7649
0.9685 0.2580 0.2649
```

Summary:
space group = No. 14
raw total energy = -6.09 eV per atom



VASP calculation (GGA-PBE) on a geometry-optimized TcHgB2 structure.

Structure (POSCAR):
```
TcHgB2
1.0
0.0000 2.9820 2.9820
2.9820 0.0000 2.9820
2.9820 2.9820 0.0000
Tc Hg B
1 1 2
Direct
0.0000 0.0000 0.0000
0.2500 0.2500 0.2500
0.5000 0.5000 0.5000
0.7500 0.7500 0.7500
```

Summary:
space group = No. 216
raw total energy = -4.11 eV per atom



VASP calculation (GGA-PBE) on a geometry-optimized LaLu2 structure.

Structure (POSCAR):
```
LaLu2
1.0
0.0000 4.7193 4.7193
4.7193 0.0000 4.7193
4.7193 4.7193 0.0000
La Lu
2 4
Direct
0.1250 0.1250 0.1250
0.8750 0.8750 0.8750
0.0000 0.5000 0.5000
0.5000 0.0000 0.5000
0.5000 0.5000 0.0000
0.5000 0.5000 0.5000
```

Summary:
space group = No. 227
energy above the lowest structure with this stoichiometry = 0 meV per atom
DFT formation energy = 0.256 eV per atom



VASP calculation (GGA-PBE) on a geometry-optimized GaHgGe structure.

Structure (POSCAR):
```
GaHgGe
1.0
0.0000 3.2773 3.2773
3.2773 0.0000 3.2773
3.2773 3.2773 0.0000
Ga Hg Ge
1 1 1
Direct
0.0000 0.0000 0.0000
0.5000 0.5000 0.5000
0.2500 0.2500 0.2500
```

Summary:
space group = No. 216
energy above the lowest structure with this stoichiometry = 0 meV per atom



VASP calculation (GGA-PBE) on a geometry-optimized Dy3Fe structure.

Structure (POSCAR):
```
Dy3Fe
1.0
7.0580 0.0000 0.0000
0.0000 9.1468 0.0000
0.0000 0.0000 6.2037
Dy Fe
12 4
Direct
0.0472 0.2500 0.1386
0.1739 0.0673 0.6719
0.1739 0.4327 0.6719
0.3261 0.5673 0.1719
0.3261 0.9327 0.1719
0.4528 0.7500 0.6386
0.5472 0.2500 0.3614
0.6739 0.0673 0.8281
0.6739 0.4327 0.8281
0.8261 0.5673 0.3281
0.8261 0.9327 0.3281
0.9528 0.7500 0.8614
0.1122 0.7500 0.4644
0.3878 0.2500 0.9644
0.6122 0.7500 0.0356
0.8878 0.2500 0.5356
```

Summary:
space group = No. 62
DFT formation energy = -0.011 eV per atom



VASP calculation (GGA-PBE) on a geometry-optimized Zr3Bi4Pt4 structure.

Structure (POSCAR):
```
Zr3Bi4Pt4
1.0
-3.2766 3.2766 6.4088
3.2766 -3.2766 6.4088
3.2766 3.2766 -6.4088
Zr Bi Pt
3 4 4
Direct
0.0000 0.0000 0.0000
0.2500 0.7500 0.5000
0.7500 0.2500 0.5000
0.0000 0.5000 0.5000
0.2736 0.2736 0.0000
0.5000 0.0000 0.5000
0.7264 0.7264 0.0000
0.0978 0.6388 0.0000
0.3612 0.3612 0.4590
0.6388 0.0978 0.0000
0.9022 0.9022 0.5410
```

Summary:
space group = No. 121
energy above the lowest structure with this stoichiometry = 0 meV per atom



VASP calculation (GGA-PBE) on a geometry-optimized SmYIn structure.

Structure (POSCAR):
```
SmYIn
1.0
0.0000 3.6992 3.6992
3.6992 0.0000 3.6992
3.6992 3.6992 0.0000
Sm Y In
1 1 1
Direct
0.0000 0.0000 0.0000
0.5000 0.5000 0.5000
0.2500 0.2500 0.2500
```

Summary:
space group = No. 216
energy above the lowest structure with this stoichiometry = 0 meV per atom



VASP calculation (GGA-PBE) on a geometry-optimized IrCl3 structure.

Structure (POSCAR):
```
IrCl3
1.0
3.0531 -5.2525 0.0000
3.0531 5.2525 0.0000
-1.9785 0.0000 5.7119
Ir Cl
2 6
Direct
0.1668 0.8332 0.0000
0.8332 0.1668 0.0000
0.0746 0.4257 0.7737
0.2223 0.2223 0.2280
0.4257 0.0746 0.7737
0.5743 0.9254 0.2263
0.7777 0.7777 0.7720
0.9254 0.5743 0.2263
```

Summary:
space group = No. 12
raw total energy = -4.07 eV per atom



VASP calculation (GGA-PBE) on a geometry-optimized Hf4Nb2Co3N3 structure.

Structure (POSCAR):
```
Hf4Nb2Co3N3
1.0
4.6343 -2.6643 0.0000
4.6343 2.6643 0.0000
-3.1521 0.0000 13.2616
Hf Nb Co N
8 4 6 6
Direct
0.0221 0.2039 0.0944
0.1397 0.3048 0.4055
0.2039 0.0221 0.5944
0.3048 0.1397 0.9055
0.6952 0.8603 0.0945
0.7961 0.9779 0.4056
0.8603 0.6952 0.5945
0.9779 0.7961 0.9056
0.3790 0.5463 0.1344
0.4537 0.6210 0.3656
0.5463 0.3790 0.6344
0.6210 0.4537 0.8656
0.0701 0.4143 0.7494
0.0986 0.9014 0.7500
0.4143 0.0701 0.2494
0.5857 0.9299 0.7506
0.9014 0.0986 0.2500
0.9299 0.5857 0.2506
0.0000 0.5000 0.0000
0.1741 0.6623 0.4999
0.3377 0.8259 0.0001
0.5000 0.0000 0.5000
0.6623 0.1741 0.9999
0.8259 0.3377 0.5001
```

Summary:
space group = No. 15
raw total energy = -9.58 eV per atom



VASP calculation (GGA-PBE) on a geometry-optimized HfUHg structure.

Structure (POSCAR):
```
HfUHg
1.0
0.0000 3.4729 3.4729
3.4729 0.0000 3.4729
3.4729 3.4729 0.0000
Hf U Hg
1 1 1
Direct
0.0000 0.0000 0.0000
0.7500 0.7500 0.7500
0.5000 0.5000 0.5000
```

Summary:
space group = No. 216
energy above the lowest structure with this stoichiometry = 289 meV per atom
DFT formation energy = 1.151 eV per atom



VASP calculation (GGA-PBE) on a geometry-optimized MgHgSO structure.

Structure (POSCAR):
```
MgHgSO
1.0
4.7330 0.0000 0.0000
0.0000 4.7330 0.0000
0.0000 0.0000 6.9096
Mg Hg S O
2 2 2 2
Direct
0.2500 0.2500 0.1456
0.7500 0.7500 0.8544
0.2500 0.2500 0.6994
0.7500 0.7500 0.3006
0.2500 0.7500 0.0000
0.7500 0.2500 0.0000
0.2500 0.2500 0.4093
0.7500 0.7500 0.5907
```

Summary:
space group = No. 129
energy above the lowest structure with this stoichiometry = 647 meV per atom